(1)
! Th8SiAs4P3 (GGA-PBE, relaxed); values from VASP
&SYSTEM
  ibrav = 0, nat = 16, ntyp = 4
/
ATOMIC_SPECIES
Th 232.04 Th.upf
As 74.92 As.upf
P 30.97 P.upf
Si 28.09 Si.upf
CELL_PARAMETERS angstrom
8.412 0.000 0.000
0.000 8.448 0.020
-4.206 -4.202 5.951
ATOMIC_POSITIONS crystal
Th 0.746 0.737 0.491
As 0.500 0.000 0.000
P 0.500 0.500 0.500
Th 0.753 0.261 0.008
As 0.000 0.000 0.000
P 0.500 0.500 0.000
Th 0.753 0.261 0.505
Si 0.000 0.500 0.000
Th 0.744 0.739 0.992
P 0.000 0.500 0.500
Th 0.254 0.263 0.509
Th 0.256 0.261 0.008
Th 0.247 0.739 0.495
As 0.500 0.000 0.500
As 0.000 0.000 0.500
Th 0.247 0.739 0.992
! - Space-group type: R-3m, No. 166
! - Raw total energy: -7.592 eV/atom

***

(2)
! ZnSiAsP (GGA-PBE, relaxed); values from VASP
&SYSTEM
  ibrav = 0, nat = 8, ntyp = 4
/
ATOMIC_SPECIES
As 74.92 As.upf
Zn 65.41 Zn.upf
Si 28.09 Si.upf
P 30.97 P.upf
CELL_PARAMETERS angstrom
-2.759 2.782 5.403
2.759 -2.782 5.403
2.759 2.782 -5.403
ATOMIC_POSITIONS crystal
As 0.750 0.510 0.760
Zn 0.633 0.383 0.250
Si 0.371 0.621 0.750
As 0.250 0.990 0.740
P 0.021 0.250 0.271
P 0.479 0.750 0.229
Zn 0.867 0.117 0.750
Si 0.129 0.879 0.250
! - Space-group type: I2_12_12_1, No. 24
! - Raw total energy: -4.434 eV/atom

***

(3)
! Zn2Si2AsP3 (GGA-PBE, relaxed); values from VASP
&SYSTEM
  ibrav = 0, nat = 8, ntyp = 4
/
ATOMIC_SPECIES
P 30.97 P.upf
Si 28.09 Si.upf
Zn 65.41 Zn.upf
As 74.92 As.upf
CELL_PARAMETERS angstrom
-5.728 -0.003 3.228
-1.613 -2.432 5.892
-0.358 3.764 3.986
ATOMIC_POSITIONS crystal
P 0.140 0.860 0.000
Si 0.241 0.505 0.883
Zn 0.012 0.246 0.630
Zn 0.754 0.988 0.370
P 0.873 0.627 0.769
Si 0.495 0.759 0.117
As 0.613 0.387 0.500
P 0.373 0.127 0.231
! - Space-group type: C2, No. 5
! - Raw total energy: -4.562 eV/atom

***

(4)
! Sm4As3P (GGA-PBE, relaxed); values from VASP
&SYSTEM
  ibrav = 0, nat = 8, ntyp = 3
/
ATOMIC_SPECIES
P 30.97 P.upf
As 74.92 As.upf
Sm 150.36 Sm.upf
CELL_PARAMETERS angstrom
-1.138 -1.760 5.538
5.491 -2.172 0.438
1.901 5.220 2.050
ATOMIC_POSITIONS crystal
P 0.000 0.000 0.000
As 0.500 0.000 0.500
Sm 0.000 0.500 0.000
Sm 0.000 0.000 0.500
Sm 0.500 0.000 0.000
Sm 0.500 0.500 0.500
As 0.500 0.500 0.000
As 0.000 0.500 0.500
! - Space-group type: Pm-3m, No. 221
! - Formation enthalpy at 0 K: -1.54 eV/atom
! - Raw total energy: -6.315 eV/atom

***

(5)
! Sm4As2P (GGA-PBE, relaxed); values from VASP
&SYSTEM
  ibrav = 0, nat = 14, ntyp = 3
/
ATOMIC_SPECIES
Sm 150.36 Sm.upf
P 30.97 P.upf
As 74.92 As.upf
CELL_PARAMETERS angstrom
-3.372 3.158 -6.112
0.860 -7.531 -1.114
-4.392 1.227 6.157
ATOMIC_POSITIONS crystal
Sm 0.988 0.622 0.744
P 0.750 0.500 0.250
Sm 0.633 0.755 0.012
Sm 0.122 0.378 0.367
Sm 0.256 0.245 0.878
Sm 0.628 0.745 0.506
Sm 0.117 0.878 0.372
As 0.875 0.129 0.504
As 0.375 0.871 0.746
As 0.496 0.371 0.625
Sm 0.762 0.255 0.883
Sm 0.494 0.122 0.238
As 0.254 0.629 0.125
P 0.000 0.000 0.000
! - Space-group type: I-42d, No. 122
! - Formation enthalpy at 0 K: -1.28 eV/atom
! - Raw total energy: -6.081 eV/atom

***

(6)
! Sm4AsP3 (GGA-PBE, relaxed); values from VASP
&SYSTEM
  ibrav = 0, nat = 8, ntyp = 3
/
ATOMIC_SPECIES
Sm 150.36 Sm.upf
P 30.97 P.upf
As 74.92 As.upf
CELL_PARAMETERS angstrom
5.845 0.000 0.000
0.000 5.845 0.000
0.000 0.000 5.845
ATOMIC_POSITIONS crystal
Sm 0.000 0.500 0.000
P 0.500 0.000 0.500
Sm 0.000 0.000 0.500
Sm 0.500 0.500 0.500
P 0.500 0.500 0.000
As 0.000 0.000 0.000
P 0.000 0.500 0.500
Sm 0.500 0.000 0.000
! - Space-group type: Pm-3m, No. 221
! - Formation enthalpy at 0 K: -1.56 eV/atom
! - Raw total energy: -6.527 eV/atom